Entry from the Alexandria database: an optimized crystal structure of NaZnH3O3 (GGA-PBEsol).

Cell lengths 5.216, 10.713, 10.713 Å; angles 90.00, 90.00, 90.00 degrees
Positions (direct):
Na: 0.456 0.121 0.091
Na: 0.456 0.621 0.409
Na: 0.956 0.909 0.121
Na: 0.956 0.591 0.621
Na: 0.456 0.879 0.909
Na: 0.456 0.379 0.591
Na: 0.956 0.091 0.879
Na: 0.956 0.409 0.379
Zn: 0.487 0.446 0.190
Zn: 0.487 0.946 0.310
Zn: 0.987 0.810 0.446
Zn: 0.987 0.690 0.946
Zn: 0.487 0.554 0.810
Zn: 0.487 0.054 0.690
Zn: 0.987 0.190 0.554
Zn: 0.987 0.310 0.054
H: 0.415 0.859 0.523
H: 0.415 0.359 0.977
H: 0.915 0.477 0.859
H: 0.915 0.023 0.359
H: 0.415 0.141 0.477
H: 0.415 0.641 0.023
H: 0.915 0.523 0.141
H: 0.915 0.977 0.641
H: 0.432 0.308 0.360
H: 0.432 0.808 0.140
H: 0.932 0.640 0.308
H: 0.932 0.860 0.808
H: 0.432 0.692 0.640
H: 0.432 0.192 0.860
H: 0.932 0.360 0.692
H: 0.932 0.140 0.192
H: 0.235 0.645 0.178
H: 0.235 0.145 0.322
H: 0.735 0.822 0.645
H: 0.735 0.678 0.145
H: 0.235 0.355 0.822
H: 0.235 0.855 0.678
H: 0.735 0.178 0.355
H: 0.735 0.322 0.855
O: 0.366 0.832 0.436
O: 0.366 0.332 0.064
O: 0.866 0.564 0.832
O: 0.866 0.936 0.332
O: 0.366 0.168 0.564
O: 0.366 0.668 0.936
O: 0.866 0.436 0.168
O: 0.866 0.064 0.668
O: 0.427 0.400 0.365
O: 0.427 0.900 0.135
O: 0.927 0.635 0.400
O: 0.927 0.865 0.900
O: 0.427 0.600 0.635
O: 0.427 0.100 0.865
O: 0.927 0.365 0.600
O: 0.927 0.135 0.100
O: 0.422 0.627 0.182
O: 0.422 0.127 0.318
O: 0.922 0.818 0.627
O: 0.922 0.682 0.127
O: 0.422 0.373 0.818
O: 0.422 0.873 0.682
O: 0.922 0.182 0.373
O: 0.922 0.318 0.873

volume: 74.8 Å³/f.u.
SG: P4_2bc, No. 106
crystal system: tetragonal
total energy: -310.9 eV per cell